[1]
This record from the Alexandria database describes a relaxed structure of Ac2Tb5Dy5. The functional is PBE.

Space-group type: C2/m, No. 12
DFT formation energy (eV/atom): 0.041
ρ (g/cm³): 8.490
Crystal system: monoclinic

abc: 3.6416 9.5539 11.9852
angles: 93.05 81.26 79.01
Element x y z (fractional)
Tb: 0.5000 0.5000 0.5000
Tb: 0.6654 0.6722 0.9970
Tb: 0.4127 0.9238 0.2507
Tb: 0.3346 0.3278 0.0030
Tb: 0.5873 0.0762 0.7493
Dy: 0.0000 0.0000 0.0000
Dy: 0.1693 0.1633 0.4981
Dy: 0.2463 0.7574 0.7500
Dy: 0.7537 0.2426 0.2500
Dy: 0.8307 0.8367 0.5019
Ac: 0.9175 0.4154 0.7495
Ac: 0.0825 0.5846 0.2505

[2]
This record from the Alexandria database describes a relaxed structure of Na5Ga2Se5. The functional is PBE.

Space-group type: C2/m, No. 12
Uncorrected energy (eV/atom): -3.3684
ρ (g/cm³): 3.547
Crystal system: monoclinic

abc: 4.0872 7.0860 11.5405
angles: 107.46 90.00 106.76
Element x y z (fractional)
Se: 0.0000 0.0000 0.0000
Se: 0.3369 0.6738 0.2046
Se: 0.8954 0.7909 0.6103
Se: 0.1046 0.2091 0.3897
Se: 0.6631 0.3262 0.7954
Na: 0.2529 0.5057 0.6370
Na: 0.6583 0.3166 0.0538
Na: 0.5000 0.0000 0.5000
Na: 0.7471 0.4943 0.3630
Na: 0.3417 0.6834 0.9462
Ga: 0.0418 0.0836 0.7947
Ga: 0.9582 0.9164 0.2053